VASP calculation (PBE) on an optimized crystal structure of La2NiHgPb.

a = 5.458 Å, b = 5.458 Å, c = 4.948 Å
α = 90.00°, β = 90.00°, γ = 90.00°
Fractional coordinates of all 5 atoms:
La (0.000, 0.500, 0.000)
La (0.500, 0.000, 0.000)
Ni (0.000, 0.000, 0.000)
Hg (0.500, 0.500, 0.500)
Pb (0.000, 0.000, 0.500)

Properties
Size of the total moment in μB/atom: 0.000
E above lowest polymorph in meV/atom: 81
Symmetry: P4/mmm (123)